An optimized crystal structure of ZrNi3Sb. Source: the Alexandria database, functional GGA-PBEsol.

a = 4.4875 Å, b = 4.4875 Å, c = 4.4875 Å
α = 90.00°, β = 90.00°, γ = 90.00°
Closest atoms and distances in Å follow each position.
Space group Pm-3m (No. 221)
One atom of each set of equivalent atoms:
Zr (0.0000, 0.0000, 0.0000) [1 per cell]  12 Ni 3.17
Ni (0.0000, 0.5000, 0.5000) [3 per cell]  2 Sb 2.24
Sb (0.5000, 0.5000, 0.5000) [1 per cell]  6 Ni 2.24

Output
E = -5.837 eV per atom

---

An optimized crystal structure of Fe2NiAu. Source: the Alexandria database, functional GGA-PBEsol.

a = 3.6217 Å, b = 3.6217 Å, c = 3.8143 Å
α = 90.00°, β = 90.00°, γ = 90.00°
Closest atoms and distances in Å follow each position.
Space group P4/mmm (No. 123)
One atom of each set of equivalent atoms:
Fe (0.0000, 0.5000, 0.0000) [2 per cell]  4 Fe 2.56, 4 Ni 2.63, 4 Au 2.63
Ni (0.0000, 0.0000, 0.5000) [1 per cell]  4 Au 2.56, 8 Fe 2.63
Au (0.5000, 0.5000, 0.5000) [1 per cell]  4 Ni 2.56, 8 Fe 2.63

Output
E = -6.926 eV per atom
energy relative to the elements = 7.4 kJ per mole of atoms

---

An optimized crystal structure of HfNbNi2Sb. Source: the Alexandria database, functional GGA-PBEsol.

a = 4.4541 Å, b = 4.4541 Å, c = 5.0361 Å
α = 90.00°, β = 90.00°, γ = 90.00°
Closest atoms and distances in Å follow each position.
Space group P4/mmm (No. 123)
One atom of each set of equivalent atoms:
Hf (0.0000, 0.0000, 0.0000) [1 per cell]  4 Nb 3.15, 8 Ni 3.36
Nb (0.5000, 0.5000, 0.0000) [1 per cell]  2 Sb 2.52
Ni (0.0000, 0.5000, 0.5000) [2 per cell]  2 Sb 2.23
Sb (0.5000, 0.5000, 0.5000) [1 per cell]  4 Ni 2.23

Output
E = -6.807 eV per atom

---

An optimized crystal structure of Ir5Ru4. Source: the Alexandria database, functional GGA-PBEsol.

a = 8.0619 Å, b = 8.0619 Å, c = 3.7971 Å
α = 90.00°, β = 90.00°, γ = 90.00°
Closest atoms and distances in Å follow each position.
Space group I4/mmm (No. 139)
One atom of each set of equivalent atoms:
Ir (0.0000, 0.0000, 0.0000) [2 per cell]  8 Ir 2.70, 4 Ru 2.72
Ir (0.1680, 0.1680, 0.5000) [8 per cell]  6 Ir 2.66-2.71, 6 Ru 2.68-2.70
Ru (0.0000, 0.3373, 0.0000) [8 per cell]  5 Ru 2.62-2.65, 7 Ir 2.68-2.72

Output
E = -10.004 eV per atom
energy relative to the elements = -2.4 kJ per mole of atoms

---

An optimized crystal structure of LiMnHg2. Source: the Alexandria database, functional GGA-PBEsol.

a = 4.6687 Å, b = 4.6687 Å, c = 3.1195 Å
α = 90.00°, β = 90.00°, γ = 90.00°
Closest atoms and distances in Å follow each position.
Space group P4/mmm (No. 123)
One atom of each set of equivalent atoms:
Li (0.0000, 0.0000, 0.0000) [1 per cell]  8 Hg 2.81, 2 Li 3.12
Mn (0.5000, 0.5000, 0.0000) [1 per cell]  8 Hg 2.81, 2 Mn 3.12
Hg (0.0000, 0.5000, 0.5000) [2 per cell]  4 Mn 2.81, 4 Li 2.81, 2 Hg 3.12

Output
E = -3.258 eV per atom
energy relative to the elements = -4.1 kJ per mole of atoms

---

An optimized crystal structure of K4MgFe. Source: the Alexandria database, functional GGA-PBEsol.

a = 10.2726 Å, b = 10.2726 Å, c = 10.2726 Å
α = 90.00°, β = 90.00°, γ = 90.00°
Closest atoms and distances in Å follow each position.
Space group F-43m (No. 216)
One atom of each set of equivalent atoms:
K (0.1245, 0.1245, 0.1245) [16 per cell]  6 K 3.62-3.65
Mg (0.0000, 0.0000, 0.5000) [4 per cell]  12 K 4.26, 4 Fe 4.45
Fe (0.2500, 0.2500, 0.7500) [4 per cell]  12 K 4.26, 4 Mg 4.45

Output
E = -1.597 eV per atom
energy relative to the elements = 90.6 kJ per mole of atoms

---

An optimized crystal structure of InFePt2. Source: the Alexandria database, functional GGA-PBEsol.

a = 2.9066 Å, b = 2.9066 Å, c = 25.7200 Å
α = 90.00°, β = 90.00°, γ = 120.00°
Closest atoms and distances in Å follow each position.
Space group R-3m (No. 166, hexagonal axes)
One atom of each set of equivalent atoms:
In (0.0000, 0.0000, 0.0000) [3 per cell]  6 Pt 2.85, 6 In 2.91
Fe (0.0000, 0.0000, 0.5000) [3 per cell]  6 Pt 2.60, 6 Fe 2.91
Pt (0.0000, 0.0000, 0.2437) [6 per cell]  3 Fe 2.60, 3 In 2.85, 6 Pt 2.91

Output
E = -6.510 eV per atom
energy relative to the elements = -4.1 kJ per mole of atoms

---

An optimized crystal structure of Li4Cr3FeO8. Source: the Alexandria database, functional GGA-PBEsol.

a = 4.9689 Å, b = 5.7372 Å, c = 5.0080 Å
α = 90.00°, β = 109.34°, γ = 90.00°
Closest atoms and distances in Å follow each position.
Space group P2/m (No. 10)
One atom of each set of equivalent atoms:
Li (0.0000, 0.0000, 0.0000) [1 per cell]  6 O 2.10-2.11
Li (0.0000, 0.5000, 0.0000) [1 per cell]  6 O 2.10-2.12
Li (0.5000, 0.2458, 0.0000) [2 per cell]  6 O 2.08-2.12
Cr (0.0000, 0.2466, 0.5000) [2 per cell]  6 O 1.96-1.98
Cr (0.5000, 0.5000, 0.5000) [1 per cell]  6 O 1.97-1.98
Fe (0.5000, 0.0000, 0.5000) [1 per cell]  6 O 1.95-1.96
O (0.2414, 0.5000, 0.7261) [2 per cell]  3 Cr 1.97-1.98, 3 Li 2.10-2.12
O (0.2450, 0.0000, 0.7271) [2 per cell]  1 Fe 1.96, 2 Cr 1.96, 3 Li 2.08-2.11
O (0.2598, 0.2470, 0.2745) [4 per cell]  1 Fe 1.95, 2 Cr 1.98, 3 Li 2.10-2.12

Output
E = -7.513 eV per atom

---

An optimized crystal structure of Zn7GeN6. Source: the Alexandria database, functional GGA-PBEsol.

a = 10.2817 Å, b = 5.6057 Å, c = 12.3868 Å
α = 90.00°, β = 90.00°, γ = 90.00°
Closest atoms and distances in Å follow each position.
Space group Pbcn (No. 60)
One atom of each set of equivalent atoms:
Zn (0.0000, 0.0806, 0.2500) [4 per cell]  4 N 2.08-2.11
Zn (0.0186, 0.2305, 0.0398) [8 per cell]  2 N 1.85-1.86
Zn (0.2136, 0.2026, 0.5742) [8 per cell]  3 N 1.93-1.99
Zn (0.2371, 0.1433, 0.8433) [8 per cell]  3 N 1.96-1.97
Ge (0.0000, 0.4133, 0.7500) [4 per cell]  4 N 1.87
N (0.0714, 0.3637, 0.3455) [8 per cell]  2 Zn 1.85-1.97, 1 Ge 1.87
N (0.1294, 0.1931, 0.7138) [8 per cell]  1 Ge 1.87, 3 Zn 1.93-2.08
N (0.1694, 0.0869, 0.9885) [8 per cell]  4 Zn 1.86-1.99

Output
E = -4.764 eV per atom

---

An optimized crystal structure of Mn2CoN2. Source: the Alexandria database, functional GGA-PBEsol.

a = 2.8011 Å, b = 2.8011 Å, c = 11.3193 Å
α = 90.00°, β = 90.00°, γ = 90.00°
Closest atoms and distances in Å follow each position.
Space group I4/mmm (No. 139)
One atom of each set of equivalent atoms:
Mn (0.0000, 0.0000, 0.1554) [4 per cell]  5 N 1.98-2.05
Co (0.0000, 0.0000, 0.5000) [2 per cell]  2 N 1.85
N (0.0000, 0.0000, 0.3368) [4 per cell]  1 Co 1.85, 5 Mn 1.98-2.05

Output
E = -9.147 eV per atom

---

An optimized crystal structure of RbCo2Se2. Source: the Alexandria database, functional GGA-PBEsol.

a = 4.4170 Å, b = 4.4170 Å, c = 10.7265 Å
α = 90.00°, β = 90.00°, γ = 90.00°
Closest atoms and distances in Å follow each position.
Space group I4/mmm (No. 139)
One atom of each set of equivalent atoms:
Rb (0.0000, 0.0000, 0.0000) [2 per cell]  10 Co 3.45-3.66, 8 Se 3.47
Co (0.0000, 0.0000, 0.3221) [4 per cell]  4 Se 2.34
Se (0.0000, 0.5000, 0.2500) [4 per cell]  4 Co 2.34

Output
E = -4.878 eV per atom

---

An optimized crystal structure of TlPdS2Cl. Source: the Alexandria database, functional GGA-PBEsol.

a = 4.6744 Å, b = 4.6744 Å, c = 4.9099 Å
α = 90.00°, β = 90.00°, γ = 90.00°
Closest atoms and distances in Å follow each position.
Space group P4/mmm (No. 123)
One atom of each set of equivalent atoms:
Tl (0.0000, 0.0000, 0.0000) [1 per cell]  4 Cl 3.31, 8 S 3.39
Pd (0.5000, 0.5000, 0.5000) [1 per cell]  4 S 2.34, 2 Cl 2.45
S (0.0000, 0.5000, 0.5000) [2 per cell]  2 Pd 2.34
Cl (0.5000, 0.5000, 0.0000) [1 per cell]  2 Pd 2.45

Output
E = -3.925 eV per atom

---

An optimized crystal structure of I. Source: the Alexandria database, functional GGA-PBEsol.

a = 7.2690 Å, b = 4.6903 Å, c = 9.4235 Å
α = 90.00°, β = 90.00°, γ = 90.00°
Closest atoms and distances in Å follow each position.
Space group Cmcm (No. 63)
One atom of each set of equivalent atoms:
I (0.0000, 0.0000, 0.0000) [4 per cell]  2 I 2.92
I (0.0000, 0.3670, 0.2500) [4 per cell]  2 I 2.92

Output
E = -1.767 eV per atom

---

An optimized crystal structure of BaCr2P. Source: the Alexandria database, functional GGA-PBEsol.

a = 4.0780 Å, b = 4.0780 Å, c = 17.5401 Å
α = 90.00°, β = 90.00°, γ = 120.00°
Closest atoms and distances in Å follow each position.
Space group R3m (No. 160, hexagonal axes)
One atom of each set of equivalent atoms:
Ba (0.0000, 0.0000, 0.0000) [3 per cell]  4 P 3.23-3.52, 4 Cr 3.34-3.44
Cr (0.0000, 0.0000, 0.1905) [3 per cell]  3 Cr 2.39, 3 P 2.46
Cr (0.0000, 0.0000, 0.5001) [3 per cell]  3 P 2.38, 3 Cr 2.39
P (0.0000, 0.0000, 0.8156) [3 per cell]  6 Cr 2.38-2.46

Output
E = -7.207 eV per atom
energy relative to the elements = -9.7 kJ per mole of atoms

---

An optimized crystal structure of NiSbOs2. Source: the Alexandria database, functional GGA-PBEsol.

a = 3.8857 Å, b = 3.8857 Å, c = 7.6745 Å
α = 90.00°, β = 90.00°, γ = 90.00°
Closest atoms and distances in Å follow each position.
Space group I-4m2 (No. 119)
One atom of each set of equivalent atoms:
Ni (0.0000, 0.0000, 0.0000) [2 per cell]  4 Sb 2.73, 8 Os 2.73-2.75
Sb (0.0000, 0.5000, 0.7500) [2 per cell]  8 Os 2.73-2.75, 4 Ni 2.73
Os (0.0000, 0.0000, 0.5000) [2 per cell]  4 Sb 2.73, 4 Os 2.73, 4 Ni 2.75
Os (0.0000, 0.5000, 0.2500) [2 per cell]  4 Os 2.73, 4 Ni 2.73, 4 Sb 2.75

Output
E = -8.351 eV per atom

---

An optimized crystal structure of LaSc2Ni. Source: the Alexandria database, functional GGA-PBEsol.

a = 6.8216 Å, b = 6.8216 Å, c = 6.8216 Å
α = 90.00°, β = 90.00°, γ = 90.00°
Closest atoms and distances in Å follow each position.
Space group Fm-3m (No. 225)
One atom of each set of equivalent atoms:
La (0.0000, 0.0000, 0.0000) [4 per cell]  8 Sc 2.95
Sc (0.2500, 0.2500, 0.2500) [8 per cell]  4 La 2.95, 4 Ni 2.95
Ni (0.0000, 0.0000, 0.5000) [4 per cell]  8 Sc 2.95

Output
E = -6.050 eV per atom
energy relative to the elements = 12.4 kJ per mole of atoms

---

An optimized crystal structure of BaCd2Hg. Source: the Alexandria database, functional GGA-PBEsol.

a = 8.7615 Å, b = 5.0531 Å, c = 5.9295 Å
α = 90.00°, β = 119.39°, γ = 90.00°
Closest atoms and distances in Å follow each position.
Space group Cm (No. 8)
One atom of each set of equivalent atoms:
Ba (0.0000, 0.0000, 0.0000) [2 per cell]  4 Cd 3.34-3.44, 4 Hg 3.40-3.42
Cd (0.0140, 0.5000, 0.5421) [2 per cell]  3 Cd 2.97, 3 Hg 3.10
Cd (0.2156, 0.0000, 0.6471) [2 per cell]  3 Cd 2.97
Hg (0.2794, 0.5000, 0.3382) [2 per cell]  6 Cd 3.10-3.33, 4 Ba 3.40-3.42

Output
E = -1.574 eV per atom
energy relative to the elements = -28.6 kJ per mole of atoms

---

An optimized crystal structure of Cr2CoPb. Source: the Alexandria database, functional GGA-PBEsol.

a = 3.0886 Å, b = 3.0885 Å, c = 5.9550 Å
α = 90.00°, β = 90.07°, γ = 90.00°
Closest atoms and distances in Å follow each position.
Space group Pm (No. 6)
One atom of each set of equivalent atoms:
Cr (0.0000, 0.0000, 0.0000) [1 per cell]  4 Cr 2.44-2.45, 4 Co 2.61
Cr (0.4984, 0.5000, 0.1860) [1 per cell]  4 Cr 2.44-2.45, 1 Co 2.54
Co (0.4991, 0.5000, 0.7596) [1 per cell]  5 Cr 2.54-2.61, 4 Pb 2.67
Pb (0.9986, 0.0000, 0.5016) [1 per cell]  4 Co 2.67, 6 Cr 2.88-2.99

Output
E = -7.527 eV per atom
energy relative to the elements = 50.9 kJ per mole of atoms

---

An optimized crystal structure of TaOs3. Source: the Alexandria database, functional GGA-PBEsol.

a = 2.7928 Å, b = 4.4263 Å, c = 4.7711 Å
α = 90.00°, β = 90.00°, γ = 90.00°
Closest atoms and distances in Å follow each position.
Space group Pmm2 (No. 25)
One atom of each set of equivalent atoms:
Ta (0.0000, 0.0000, 0.0000) [1 per cell]  10 Os 2.73-2.77, 2 Ta 2.79
Os (0.0000, 0.5000, 0.6494) [1 per cell]  10 Os 2.71-2.81, 2 Ta 2.77
Os (0.5000, 0.0000, 0.5020) [1 per cell]  8 Os 2.71-2.79, 4 Ta 2.76-2.77
Os (0.5000, 0.5000, 0.1610) [1 per cell]  8 Os 2.72-2.81, 4 Ta 2.73

Output
E = -12.358 eV per atom
energy relative to the elements = -5.7 kJ per mole of atoms

---

An optimized crystal structure of K2ReSb. Source: the Alexandria database, functional GGA-PBEsol.

a = 5.6437 Å, b = 11.3598 Å, c = 2.9386 Å
α = 90.00°, β = 92.76°, γ = 90.00°
Closest atoms and distances in Å follow each position.
Space group C2/m (No. 12)
One atom of each set of equivalent atoms:
K (0.2500, 0.2500, 0.0000) [4 per cell]  4 K 2.82-2.94
Re (0.0000, 0.0000, 0.5000) [2 per cell]  2 Sb 2.82, 2 Re 2.94
Sb (0.0000, 0.5000, 0.5000) [2 per cell]  2 Re 2.82, 2 Sb 2.94

Output
E = -4.087 eV per atom

---

An optimized crystal structure of Y10Cd3Ni. Source: the Alexandria database, functional GGA-PBEsol.

a = 9.5001 Å, b = 9.5001 Å, c = 9.6124 Å
α = 90.00°, β = 90.00°, γ = 120.00°
Closest atoms and distances in Å follow each position.
Space group P6_3/mmc (No. 194)
One atom of each set of equivalent atoms:
Y (0.0000, 0.0000, 0.0000) [2 per cell]  6 Cd 3.06
Y (0.0888, 0.5444, 0.2500) [6 per cell]  2 Cd 3.12, 1 Ni 3.47, 2 Y 3.49
Y (0.2103, 0.4206, 0.5635) [12 per cell]  1 Ni 2.70
Cd (0.1148, 0.2295, 0.2500) [6 per cell]  6 Y 3.06-3.40, 2 Cd 3.27
Ni (0.3333, 0.6667, 0.7500) [2 per cell]  6 Y 2.70

Output
E = -5.834 eV per atom
energy relative to the elements = -25.5 kJ per mole of atoms

---

An optimized crystal structure of TaAl2Rh. Source: the Alexandria database, functional GGA-PBEsol.

a = 2.9087 Å, b = 2.9087 Å, c = 6.9448 Å
α = 90.00°, β = 90.00°, γ = 90.00°
Closest atoms and distances in Å follow each position.
Space group P4/mmm (No. 123)
One atom of each set of equivalent atoms:
Ta (0.0000, 0.0000, 0.0000) [1 per cell]  8 Al 2.84, 4 Ta 2.91
Al (0.5000, 0.5000, 0.2824) [2 per cell]  4 Rh 2.55, 4 Ta 2.84
Rh (0.0000, 0.0000, 0.5000) [1 per cell]  8 Al 2.55

Output
E = -7.870 eV per atom
energy relative to the elements = -62.9 kJ per mole of atoms